#P
# K2Zr

A relaxed K2Zr crystal (PBE-GGA, Alexandria).

- DOS(E_F) (states/eV per cell) = 31.12

Lattice parameters (Å, degrees): 8.983 8.983 8.983 90.00 90.00 90.00
Fractional coordinates of all 12 atoms:
K (0.143, 0.143, 0.143)
K (0.143, 0.357, 0.643)
K (0.357, 0.643, 0.143)
K (0.357, 0.857, 0.643)
K (0.643, 0.143, 0.357)
K (0.643, 0.357, 0.857)
K (0.857, 0.643, 0.357)
K (0.857, 0.857, 0.857)
Zr (0.000, 0.000, 0.500)
Zr (0.000, 0.500, 0.000)
Zr (0.500, 0.000, 0.000)
Zr (0.500, 0.500, 0.500)


#Q
# K2Zr

A relaxed K2Zr crystal (PBE-GGA, Alexandria).

- DOS(E_F) (states/eV per cell) = 4.64

Lattice parameters (Å, degrees): 6.670 6.670 3.133 90.00 90.00 120.00
Fractional coordinates of all 3 atoms:
K (0.333, 0.667, 0.478)
K (0.667, 0.333, 0.522)
Zr (0.000, 0.000, 0.000)


Stability verdict: #Q, ahead by 507 meV/atom


#P
# K2Zr

A relaxed K2Zr crystal (PBE-GGA, Alexandria).

- DOS(E_F) (states/eV per cell) = 5.72

Lattice parameters (Å, degrees): 8.595 8.595 10.506 108.25 108.25 22.11
Fractional coordinates of all 6 atoms:
K (0.039, 0.039, 0.213)
K (0.323, 0.323, 0.349)
K (0.677, 0.677, 0.651)
K (0.961, 0.961, 0.787)
Zr (0.316, 0.316, 0.990)
Zr (0.684, 0.684, 0.010)


#Q
# K2Zr

A relaxed K2Zr crystal (PBE-GGA, Alexandria).

- DOS(E_F) (states/eV per cell) = 5.30

Lattice parameters (Å, degrees): 10.290 10.290 8.566 108.06 108.06 19.53
Fractional coordinates of all 6 atoms:
K (0.105, 0.105, 0.077)
K (0.170, 0.170, 0.636)
K (0.830, 0.830, 0.364)
K (0.895, 0.895, 0.923)
Zr (0.498, 0.498, 0.644)
Zr (0.502, 0.502, 0.356)


#R
# K2Zr

A relaxed K2Zr crystal (PBE-GGA, Alexandria).

- DOS(E_F) (states/eV per cell) = 4.41

Lattice parameters (Å, degrees): 18.503 18.503 4.420 90.00 90.00 168.63
Fractional coordinates of all 6 atoms:
K (0.053, 0.947, 0.750)
K (0.341, 0.659, 0.750)
K (0.659, 0.341, 0.250)
K (0.947, 0.053, 0.250)
Zr (0.253, 0.747, 0.250)
Zr (0.747, 0.253, 0.750)


#S
# K2Zr

A relaxed K2Zr crystal (PBE-GGA, Alexandria).

- DOS(E_F) (states/eV per cell) = 8.48

Lattice parameters (Å, degrees): 21.375 21.375 21.375 170.84 170.84 12.97
Fractional coordinates of all 6 atoms:
K (0.302, 0.552, 0.750)
K (0.448, 0.698, 0.750)
K (0.552, 0.302, 0.250)
K (0.698, 0.448, 0.250)
Zr (0.125, 0.875, 0.250)
Zr (0.875, 0.125, 0.750)


Stability verdict: #R, ahead by 170 meV/atom


#P
# KZr

A relaxed KZr crystal (PBE-GGA, Alexandria).

- DOS(E_F) (states/eV per cell) = 15.00

Lattice parameters (Å, degrees): 16.695 3.229 9.239 90.00 90.00 90.00
Fractional coordinates of all 12 atoms:
K (0.000, 0.026, 0.000)
K (0.219, 0.001, 0.673)
K (0.281, 0.999, 0.173)
K (0.500, 0.974, 0.500)
K (0.719, 0.999, 0.173)
K (0.781, 0.001, 0.673)
Zr (0.000, 0.013, 0.581)
Zr (0.086, 0.513, 0.364)
Zr (0.414, 0.487, 0.864)
Zr (0.500, 0.987, 0.081)
Zr (0.586, 0.487, 0.864)
Zr (0.914, 0.513, 0.364)


#Q
# KZr

A relaxed KZr crystal (PBE-GGA, Alexandria).

- DOS(E_F) (states/eV per cell) = 4.47

Lattice parameters (Å, degrees): 4.641 4.641 4.641 60.00 60.00 60.00
Fractional coordinates of all 2 atoms:
K (0.000, 0.000, 0.000)
Zr (0.500, 0.500, 0.500)


#R
# KZr

A relaxed KZr crystal (PBE-GGA, Alexandria).

- DOS(E_F) (states/eV per cell) = 5.74

Lattice parameters (Å, degrees): 13.370 13.370 13.370 14.86 14.86 14.86
Fractional coordinates of all 4 atoms:
K (0.115, 0.115, 0.115)
K (0.885, 0.885, 0.885)
Zr (0.363, 0.363, 0.363)
Zr (0.637, 0.637, 0.637)


#S
# KZr

A relaxed KZr crystal (PBE-GGA, Alexandria).

- DOS(E_F) (states/eV per cell) = 13.04

Lattice parameters (Å, degrees): 4.996 4.996 25.560 90.00 90.00 120.00
Fractional coordinates of all 12 atoms:
K (0.000, 0.000, 0.104)
K (0.000, 0.000, 0.896)
K (0.333, 0.667, 0.229)
K (0.333, 0.667, 0.438)
K (0.667, 0.333, 0.562)
K (0.667, 0.333, 0.771)
Zr (0.000, 0.000, 0.334)
Zr (0.000, 0.000, 0.666)
Zr (0.333, 0.667, 0.000)
Zr (0.333, 0.667, 0.667)
Zr (0.667, 0.333, 0.000)
Zr (0.667, 0.333, 0.333)


Stability verdict: #R, ahead by 144 meV/atom